In3W after structural relaxation. Source: the Alexandria database, functional PBE.

a = 6.1366 Å, b = 6.1366 Å, c = 10.2792 Å
α = 90.00°, β = 90.00°, γ = 120.00°
Atoms (fractional coordinates):
In 0.3228 0.1614 0.2500
In 0.0000 0.5000 0.5000
In 0.8386 0.6772 0.2500
In 0.8386 0.1614 0.2500
In 0.5000 0.5000 0.5000
In 0.0000 0.5000 0.0000
In 0.1614 0.3228 0.7500
In 0.1614 0.8386 0.7500
In 0.6772 0.8386 0.7500
In 0.5000 0.5000 0.0000
In 0.5000 0.0000 0.0000
In 0.5000 0.0000 0.5000
W 0.0000 0.0000 0.0000
W 0.6667 0.3333 0.7500
W 0.3333 0.6667 0.2500
W 0.0000 0.0000 0.5000

Computed properties:
ΔE to the lowest computed polymorph: 0.237 eV/atom



Rb2PmMn2Se4 after structural relaxation. Source: the Alexandria database, functional PBE.

a = 4.2676 Å, b = 8.2391 Å, c = 8.1530 Å
α = 108.58°, β = 105.17°, γ = 90.00°
Atoms (fractional coordinates):
Rb 0.1316 0.5530 0.2632
Rb 0.8684 0.4470 0.7368
Se 0.7993 0.8307 0.5986
Se 0.5222 0.7664 0.0445
Se 0.2007 0.1693 0.4014
Se 0.4778 0.2336 0.9555
Pm 0.0000 0.0000 0.0000
Mn 0.6783 0.9833 0.3566
Mn 0.3217 0.0167 0.6434

Computed properties:
uncorrected formation energy: -1.089 eV per atom



K2AgHg after structural relaxation. Source: the Alexandria database, functional PBE.

a = 5.6847 Å, b = 5.6847 Å, c = 5.6847 Å
α = 60.00°, β = 60.00°, γ = 60.00°
Atoms (fractional coordinates):
K 0.2500 0.2500 0.2500
K 0.0000 0.0000 0.0000
Hg 0.7500 0.7500 0.7500
Ag 0.5000 0.5000 0.5000

Computed properties:
total DFT energy (no corrections): -1.344 eV per atom



LaPr7Er12 after structural relaxation. Source: the Alexandria database, functional PBE.

a = 9.8055 Å, b = 9.8055 Å, c = 9.8055 Å
α = 109.47°, β = 109.47°, γ = 109.47°
Atoms (fractional coordinates):
Er 0.0003 0.2516 0.7487
Er 0.2516 0.2513 0.5028
Er 0.7487 0.0003 0.2516
Er 0.5028 0.2516 0.2513
Er 0.2516 0.7487 0.0003
Er 0.2513 0.9997 0.7484
Er 0.7484 0.2513 0.9997
Er 0.2513 0.5028 0.2516
Er 0.4972 0.7484 0.7487
Er 0.7487 0.4972 0.7484
Er 0.7484 0.7487 0.4972
Er 0.9997 0.7484 0.2513
Pr 0.0000 0.0000 0.5000
Pr 0.0000 0.5000 0.5000
Pr 0.5000 0.0000 0.0000
Pr 0.0000 0.5000 0.0000
Pr 0.5000 0.0000 0.5000
Pr 0.5000 0.5000 0.0000
Pr 0.5000 0.5000 0.5000
La 0.0000 0.0000 0.0000

Computed properties:
ΔE to the lowest computed polymorph: 0.331 eV/atom



TmMgGa2 after structural relaxation. Source: the Alexandria database, functional PBE.

a = 4.1675 Å, b = 4.3726 Å, c = 4.3726 Å
α = 90.00°, β = 90.00°, γ = 90.00°
Atoms (fractional coordinates):
Ga 0.0000 0.5000 0.0000
Ga 0.0000 0.0000 0.5000
Tm 0.5000 0.0000 0.0000
Mg 0.5000 0.5000 0.5000

Computed properties:
total DFT energy (no corrections): -3.476 eV per atom



Fe2Tc2Sn after structural relaxation. Source: the Alexandria database, functional PBE.

a = 7.3698 Å, b = 7.3698 Å, c = 2.7234 Å
α = 90.00°, β = 90.00°, γ = 90.00°
Atoms (fractional coordinates):
Tc 0.3739 0.8739 0.0000
Tc 0.8739 0.6261 0.0000
Tc 0.6261 0.1261 0.0000
Tc 0.1261 0.3739 0.0000
Fe 0.1603 0.6603 0.5000
Fe 0.8397 0.3397 0.5000
Fe 0.6603 0.8397 0.5000
Fe 0.3397 0.1603 0.5000
Sn 0.5000 0.5000 0.0000
Sn 0.0000 0.0000 0.0000

Computed properties:
ΔE to the lowest computed polymorph: 0.063 eV/atom